{
  "formula": "AgMoIr2",
  "functional": "GGA-PBE",
  "state": "relaxed",
  "cell": [[2.817, 0.000, 0.000], [0.000, 2.817, 0.000], [0.000, 0.000, 7.908]],
  "species": ["Ag", "Ir", "Ir", "Mo"],
  "fractional_positions": [[0.500, 0.500, 0.750], [0.000, 0.000, 0.020], [0.000, 0.000, 0.480], [0.500, 0.500, 0.250]],
  "polymorph_energy_ev_per_fu": 0.03,
  "sg": "No. 123",
  "formation_enthalpy_0k_ev_per_atom": 0.018,
  "n_ef_per_ev_cell": 4.68
}

{
  "formula": "Nd2Al5Cu2Pd",
  "functional": "GGA-PBE",
  "state": "relaxed",
  "cell": [[3.972, 0.000, 0.000], [0.000, 9.647, 0.000], [0.000, 0.000, 9.647]],
  "species": ["Nd", "Nd", "Nd", "Nd", "Al", "Al", "Al", "Al", "Al", "Al", "Al", "Al", "Al", "Al", "Cu", "Cu", "Cu", "Cu", "Pd", "Pd"],
  "fractional_positions": [[0.000, 0.687, 0.187], [0.000, 0.313, 0.813], [0.000, 0.187, 0.313], [0.000, 0.813, 0.687], [0.500, 0.200, 0.050], [0.500, 0.800, 0.950], [0.500, 0.050, 0.800], [0.500, 0.700, 0.450], [0.500, 0.950, 0.200], [0.500, 0.300, 0.550], [0.500, 0.550, 0.700], [0.500, 0.450, 0.300], [0.500, 0.500, 0.000], [0.500, 0.000, 0.500], [0.000, 0.108, 0.608], [0.000, 0.892, 0.392], [0.000, 0.608, 0.892], [0.000, 0.392, 0.108], [0.000, 0.000, 0.000], [0.000, 0.500, 0.500]],
  "sg": "No. 127",
  "formation_enthalpy_0k_ev_per_atom": -0.479,
  "n_ef_per_ev_cell": 5.49
}

{
  "formula": "NaPmAu3",
  "functional": "GGA-PBE",
  "state": "relaxed",
  "cell": [[5.433, 0.000, 0.000], [0.000, 7.009, -0.001], [0.000, -3.503, 6.070]],
  "species": ["Na", "Na", "Pm", "Pm", "Au", "Au", "Au", "Au", "Au", "Au"],
  "fractional_positions": [[0.000, 0.000, 0.000], [0.500, 0.000, 0.000], [0.250, 0.334, 0.666], [0.750, 0.666, 0.334], [0.250, 0.800, 0.200], [0.750, 0.200, 0.800], [0.250, 0.800, 0.600], [0.750, 0.200, 0.400], [0.250, 0.400, 0.200], [0.750, 0.600, 0.800]],
  "sg": "No. 194",
  "formation_enthalpy_0k_ev_per_atom": -0.361,
  "n_ef_per_ev_cell": 6.29
}

{
  "formula": "KRuSe2",
  "functional": "GGA-PBE",
  "state": "relaxed",
  "cell": [[6.370, 0.006, -0.073], [5.472, 3.262, -0.073], [1.659, 0.458, 5.283]],
  "species": ["K", "Ru", "Se", "Se"],
  "fractional_positions": [[0.532, 0.532, 0.495], [0.303, 0.303, 0.074], [0.949, 0.949, 0.048], [0.716, 0.716, 0.883]],
  "e_form_raw_mev_per_atom": -260,
  "sg": "No. 8",
  "n_ef_per_ev_cell": 2.55
}

{
  "formula": "TiCo4Sn",
  "functional": "GGA-PBE",
  "state": "relaxed",
  "cell": [[4.786, 0.000, 0.000], [2.393, 4.145, 0.000], [2.393, 1.382, 3.908]],
  "species": ["Co", "Co", "Co", "Co", "Sn", "Ti"],
  "fractional_positions": [[0.625, 0.625, 0.126], [0.625, 0.126, 0.625], [0.625, 0.625, 0.625], [0.126, 0.625, 0.625], [0.000, 0.000, 0.000], [0.250, 0.250, 0.250]],
  "sg": "No. 216",
  "formation_enthalpy_0k_ev_per_atom": -0.156,
  "n_ef_per_ev_cell": 8.61
}

{
  "formula": "Zn2SiAu",
  "functional": "GGA-PBE",
  "state": "relaxed",
  "cell": [[2.850, 0.045, 0.000], [-0.175, 2.845, 0.000], [0.000, 0.000, 7.878]],
  "species": ["Au", "Si", "Zn", "Zn"],
  "fractional_positions": [[0.500, 0.500, 0.250], [0.500, 0.500, 0.750], [0.000, 0.000, 0.992], [0.000, 0.000, 0.508]],
  "e_form_raw_mev_per_atom": 110,
  "sg": "No. 65",
  "n_ef_per_ev_cell": 1.20
}

{
  "formula": "MnCrAs2",
  "functional": "GGA-PBE",
  "state": "relaxed",
  "cell": [[4.596, -0.030, 0.013], [-0.313, 4.586, 0.013], [0.441, 0.469, 3.013]],
  "species": ["As", "As", "Cr", "Mn"],
  "fractional_positions": [[0.000, 0.000, 0.000], [0.500, 0.500, 0.000], [0.500, 0.000, 0.500], [0.000, 0.500, 0.500]],
  "polymorph_energy_ev_per_fu": 0.92,
  "sg": "No. 12",
  "formation_enthalpy_0k_ev_per_atom": 0.133,
  "n_ef_per_ev_cell": 3.30
}

{
  "formula": "NaCaRu2",
  "functional": "GGA-PBE",
  "state": "relaxed",
  "cell": [[4.010, 0.001, 0.005], [-0.002, 5.351, 0.014], [-0.026, -1.796, 9.077]],
  "species": ["Na", "Na", "Ca", "Ca", "Ru", "Ru", "Ru", "Ru"],
  "fractional_positions": [[0.751, 0.982, 0.851], [0.249, 0.018, 0.149], [0.749, 0.555, 0.233], [0.251, 0.445, 0.767], [0.750, 0.140, 0.542], [0.250, 0.860, 0.458], [0.750, 0.643, 0.552], [0.250, 0.357, 0.448]],
  "polymorph_energy_ev_per_fu": 0.21,
  "sg": "No. 2",
  "formation_enthalpy_0k_ev_per_atom": 0.218,
  "n_ef_per_ev_cell": 4.53
}

{
  "formula": "ScFeBr2",
  "functional": "GGA-PBE",
  "state": "relaxed",
  "cell": [[-0.589, 4.677, -0.484], [-1.892, -0.682, -4.290], [-8.540, 1.421, 0.924]],
  "species": ["Sc", "Sc", "Fe", "Fe", "Br", "Br", "Br", "Br"],
  "fractional_positions": [[0.500, 0.500, 0.000], [0.250, 0.750, 0.500], [0.000, 0.000, 0.000], [0.750, 0.250, 0.500], [0.644, 0.125, 0.250], [0.106, 0.625, 0.250], [0.375, 0.356, 0.750], [0.875, 0.894, 0.750]],
  "e_form_raw_mev_per_atom": -165,
  "polymorph_energy_ev_per_fu": 1.55,
  "sg": "No. 122",
  "n_ef_per_ev_cell": 4.94
}

{
  "formula": "LiSiMo2",
  "functional": "GGA-PBE",
  "state": "relaxed",
  "cell": [[2.649, 0.000, 0.000], [0.000, 2.649, 0.000], [0.000, 0.000, 8.703]],
  "species": ["Li", "Mo", "Mo", "Si"],
  "fractional_positions": [[0.500, 0.500, 0.728], [0.000, 0.000, 0.005], [0.500, 0.500, 0.271], [0.000, 0.000, 0.496]],
  "e_form_raw_mev_per_atom": 192,
  "sg": "No. 99",
  "n_ef_per_ev_cell": 4.33
}

{
  "formula": "RbY",
  "functional": "GGA-PBE",
  "state": "relaxed",
  "cell": [[-5.135, 4.694, 2.175], [-4.581, -2.702, -4.985], [-2.403, -4.879, 4.853]],
  "species": ["Rb", "Rb", "Rb", "Rb", "Y", "Y", "Y", "Y"],
  "fractional_positions": [[0.000, 0.000, 0.000], [0.000, 0.500, 0.500], [0.500, 0.000, 0.500], [0.500, 0.500, 0.000], [0.500, 0.500, 0.500], [0.500, 0.000, 0.000], [0.000, 0.500, 0.000], [0.000, 0.000, 0.500]],
  "sg": "No. 225",
  "formation_enthalpy_0k_ev_per_atom": 1.321,
  "n_ef_per_ev_cell": 8.35
}

{
  "formula": "Ac5Co2Ag2",
  "functional": "GGA-PBE",
  "state": "relaxed",
  "cell": [[-5.445, -3.446, -4.940], [5.448, 0.067, -6.051], [-0.082, -9.185, -0.175]],
  "species": ["Ac", "Ac", "Ac", "Ac", "Ac", "Ac", "Ac", "Ac", "Ac", "Ac", "Co", "Co", "Co", "Co", "Ag", "Ag", "Ag", "Ag"],
  "fractional_positions": [[0.000, 0.000, 0.000], [0.500, 0.500, 0.000], [0.455, 0.167, 0.756], [0.789, 0.833, 0.756], [0.289, 0.667, 0.756], [0.955, 0.333, 0.756], [0.545, 0.833, 0.244], [0.211, 0.167, 0.244], [0.711, 0.333, 0.244], [0.045, 0.667, 0.244], [0.136, 0.367, 0.000], [0.864, 0.633, 0.000], [0.364, 0.867, 0.000], [0.636, 0.133, 0.000], [0.211, 0.000, 0.578], [0.711, 0.500, 0.578], [0.789, 0.000, 0.422], [0.289, 0.500, 0.422]],
  "sg": "No. 64",
  "formation_enthalpy_0k_ev_per_atom": -0.060,
  "n_ef_per_ev_cell": 18.10
}

{
  "formula": "YAsP2Cl",
  "functional": "GGA-PBE",
  "state": "relaxed",
  "cell": [[5.451, 0.000, 0.000], [0.000, 5.451, 0.000], [0.000, 0.000, 5.038]],
  "species": ["Y", "P", "P", "As", "Cl"],
  "fractional_positions": [[0.000, 0.000, 0.000], [0.000, 0.500, 0.000], [0.500, 0.000, 0.000], [0.500, 0.500, 0.500], [0.000, 0.000, 0.500]],
  "e_form_raw_mev_per_atom": 298,
  "polymorph_energy_ev_per_fu": 2.01,
  "sg": "No. 123",
  "n_ef_per_ev_cell": 2.85
}

{
  "formula": "B2SbPd8",
  "functional": "GGA-PBE",
  "state": "relaxed",
  "cell": [[-2.831, -2.621, -1.958], [2.234, 0.004, -6.822], [4.205, -4.087, -2.403]],
  "species": ["B", "B", "Sb", "Pd", "Pd", "Pd", "Pd", "Pd", "Pd", "Pd", "Pd"],
  "fractional_positions": [[0.000, 0.323, 0.354], [0.000, 0.677, 0.646], [0.500, 0.000, 0.000], [0.910, 0.064, 0.269], [0.910, 0.333, 0.731], [0.293, 0.388, 0.000], [0.500, 0.744, 0.512], [0.500, 0.256, 0.488], [0.707, 0.612, 0.000], [0.090, 0.667, 0.269], [0.090, 0.936, 0.731]],
  "e_form_raw_mev_per_atom": -226,
  "sg": "No. 12",
  "n_ef_per_ev_cell": 4.64
}

{
  "formula": "KUCuS3",
  "functional": "GGA-PBE",
  "state": "relaxed",
  "cell": [[-0.350, 0.391, 3.922], [-6.945, -5.374, -0.084], [7.481, -5.027, 1.169]],
  "species": ["K", "K", "U", "U", "Cu", "Cu", "S", "S", "S", "S", "S", "S"],
  "fractional_positions": [[0.250, 0.203, 0.246], [0.750, 0.797, 0.754], [0.250, 0.678, 0.161], [0.750, 0.322, 0.839], [0.250, 0.081, 0.595], [0.750, 0.919, 0.405], [0.750, 0.879, 0.140], [0.250, 0.121, 0.860], [0.250, 0.799, 0.467], [0.750, 0.201, 0.533], [0.750, 0.461, 0.155], [0.250, 0.539, 0.845]],
  "e_form_raw_mev_per_atom": -1177,
  "polymorph_energy_ev_per_fu": 0.20,
  "sg": "No. 11",
  "n_ef_per_ev_cell": 10.73
}

{
  "formula": "InAgBr2",
  "functional": "GGA-PBE",
  "state": "relaxed",
  "cell": [[-5.602, -0.675, 2.353], [-1.980, -5.330, -2.245], [4.109, 2.668, 3.657]],
  "species": ["Br", "Br", "Ag", "In"],
  "fractional_positions": [[0.042, 0.042, 0.000], [0.711, 0.211, 0.500], [0.255, 0.755, 0.500], [0.492, 0.492, 0.000]],
  "e_form_raw_mev_per_atom": -338,
  "polymorph_energy_ev_per_fu": 0.51,
  "sg": "No. 44"
}

{
  "formula": "TaMnOs2",
  "functional": "GGA-PBE",
  "state": "relaxed",
  "cell": [[4.324, 0.000, 0.000], [0.000, 2.726, 0.050], [0.000, 0.808, 5.070]],
  "species": ["Mn", "Os", "Os", "Ta"],
  "fractional_positions": [[0.500, 0.750, 0.750], [0.000, 0.938, 0.978], [0.000, 0.562, 0.522], [0.500, 0.250, 0.250]],
  "sg": "No. 10",
  "formation_enthalpy_0k_ev_per_atom": 0.054,
  "n_ef_per_ev_cell": 3.81
}

{
  "formula": "Ca2Al2InRh5",
  "functional": "GGA-PBE",
  "state": "relaxed",
  "cell": [[3.271, 0.000, 0.000], [0.000, 10.328, 0.000], [0.000, 0.000, 10.328]],
  "species": ["Ca", "Ca", "Ca", "Ca", "Al", "Al", "Al", "Al", "In", "In", "Rh", "Rh", "Rh", "Rh", "Rh", "Rh", "Rh", "Rh", "Rh", "Rh"],
  "fractional_positions": [[0.000, 0.674, 0.174], [0.000, 0.326, 0.826], [0.000, 0.174, 0.326], [0.000, 0.826, 0.674], [0.000, 0.126, 0.626], [0.000, 0.874, 0.374], [0.000, 0.626, 0.874], [0.000, 0.374, 0.126], [0.000, 0.000, 0.000], [0.000, 0.500, 0.500], [0.500, 0.208, 0.065], [0.500, 0.792, 0.935], [0.500, 0.065, 0.792], [0.500, 0.708, 0.435], [0.500, 0.935, 0.208], [0.500, 0.292, 0.565], [0.500, 0.565, 0.708], [0.500, 0.435, 0.292], [0.500, 0.500, 0.000], [0.500, 0.000, 0.500]],
  "sg": "No. 127",
  "formation_enthalpy_0k_ev_per_atom": -0.647,
  "n_ef_per_ev_cell": 7.20
}

{
  "formula": "MnIrBr2",
  "functional": "GGA-PBE",
  "state": "relaxed",
  "cell": [[-4.315, 0.561, -3.594], [0.836, -5.274, -1.826], [-5.100, -4.187, 1.040]],
  "species": ["Mn", "Mn", "Ir", "Ir", "Br", "Br", "Br", "Br"],
  "fractional_positions": [[0.500, 0.500, 0.000], [0.250, 0.750, 0.500], [0.000, 0.000, 0.000], [0.750, 0.250, 0.500], [0.600, 0.125, 0.250], [0.150, 0.625, 0.250], [0.375, 0.400, 0.750], [0.875, 0.850, 0.750]],
  "e_form_raw_mev_per_atom": 1065,
  "polymorph_energy_ev_per_fu": 4.00,
  "sg": "No. 122",
  "n_ef_per_ev_cell": 9.94
}

{
  "formula": "HoPuSi2",
  "functional": "GGA-PBE",
  "state": "relaxed",
  "cell": [[4.759, 0.000, 0.000], [2.379, 4.121, 0.000], [2.379, 1.374, 4.355]],
  "species": ["Si", "Si", "Ho", "Pu"],
  "fractional_positions": [[0.747, 0.747, 0.758], [0.253, 0.253, 0.242], [0.500, 0.500, 0.500], [0.000, 0.000, 0.000]],
  "e_form_raw_mev_per_atom": -358,
  "polymorph_energy_ev_per_fu": 0.98,
  "sg": "No. 166",
  "n_ef_per_ev_cell": 8.30
}